1.
DFT (PBE) results for a relaxed ReI2Cl8 crystal.

a b c (Å): 16.4154 7.3654 7.3818
angles (deg): 90.00 111.24 90.00
Closest atoms and distances in Å follow each position.
Space group C2/m (No. 12)
Unique sites:
Re: 0.0000 0.0000 0.0000 x2  6 Cl 2.30-2.38
I: 0.2497 0.0000 0.4570 x4  1 Cl 2.39
Cl: 0.0706 0.0000 0.3438 x4  1 Re 2.38
Cl: 0.0943 0.2203 0.9754 x8  1 Re 2.30
Cl: 0.0946 0.5000 0.4395 x4  1 I 2.39

Output
uncorrected formation energy: -0.378 eV/atom
magnetization: 1.5 μB/f.u.

2.
DFT (PBE) results for a relaxed CrSbBr4 crystal.

a b c (Å): 8.8169 8.8169 8.8169
angles (deg): 90.00 90.00 90.00
Closest atoms and distances in Å follow each position.
Space group F-43m (No. 216)
Unique sites:
Cr: 0.0000 0.0000 0.0000 x4  12 Br 3.65, 4 Sb 3.82
Sb: 0.2500 0.2500 0.7500 x4  12 Br 3.66, 4 Cr 3.82
Br: 0.1254 0.1254 0.3746 x16  6 Br 3.11-3.13

Output
uncorrected formation energy: 0.837 eV/atom
magnetization: 3.4 μB/f.u.

3.
DFT (PBE) results for a relaxed MnAl2Pb crystal.

a b c (Å): 3.2630 4.2960 5.6956
angles (deg): 90.00 90.22 90.00
Closest atoms and distances in Å follow each position.
Space group Pm (No. 6)
Unique sites:
Mn: 0.0000 0.0000 0.0000 x1  4 Al 2.62-2.63
Al: 0.4973 0.0000 0.6397 x1  2 Mn 2.62, 4 Al 2.75
Al: 0.9977 0.5000 0.7337 x1  2 Mn 2.63, 4 Al 2.75
Pb: 0.5003 0.5000 0.2374 x1  4 Mn 3.01-3.02, 6 Al 3.14-3.30, 2 Pb 3.26

Output
formation energy: 6.0 kcal/mol of atoms
magnetization: 3.3 μB/f.u.

4.
DFT (PBE) results for a relaxed P2Rh crystal.

a b c (Å): 4.5457 4.5457 10.6486
angles (deg): 90.00 90.00 120.00
Closest atoms and distances in Å follow each position.
Space group P6_3/mmc (No. 194)
Unique sites:
P: 0.0000 0.0000 0.0000 x2  6 Rh 2.71, 6 P 2.94
P: 0.1598 0.3195 0.2500 x6  4 P 2.18-2.37, 2 Rh 2.40
Rh: 0.3333 0.6667 0.0647 x4  3 P 2.40

Output
formation energy: 3.1 kcal/mol of atoms
magnetization: 0.0 μB/f.u.

5.
DFT (PBE) results for a relaxed CsBrO2 crystal.

a b c (Å): 3.8836 3.8836 16.2662
angles (deg): 90.00 90.00 120.00
Closest atoms and distances in Å follow each position.
Space group R-3m (No. 166, hexagonal axes)
Unique sites:
Cs: 0.0000 0.0000 0.0000 x3  8 O 3.10-3.29
Br: 0.0000 0.0000 0.5000 x3  6 O 2.31
O: 0.0000 0.0000 0.2020 x6  3 Br 2.31, 3 O 2.52

Output
uncorrected formation energy: 0.028 eV/atom
E above lowest polymorph: 426 meV per atom
magnetization: 0.0 μB/f.u.

6.
DFT (PBE) results for a relaxed LiAgTeI2 crystal.

a b c (Å): 5.5390 5.5390 5.1627
angles (deg): 90.00 90.00 90.00
Closest atoms and distances in Å follow each position.
Space group P4/mmm (No. 123)
Unique sites:
Li: 0.0000 0.0000 0.0000 x1  2 Te 2.58, 4 I 2.77
Ag: 0.5000 0.5000 0.5000 x1  8 I 3.79, 4 Te 3.92
Te: 0.0000 0.0000 0.5000 x1  2 Li 2.58
I: 0.0000 0.5000 0.0000 x2  2 Li 2.77

Output
uncorrected formation energy: 0.112 eV/atom
E above lowest polymorph: 162 meV per atom
magnetization: 0.0 μB/f.u.

Look up the magnetization of the fourth one.
0.0 μB/f.u.